(1)
Below is a relaxed TmPd6Au2 crystal, with properties calculated at the PBE level.

Lattice parameters (Å, degrees): 4.152 4.942 8.596 72.18 76.02 65.16
Sites, in units of the cell vectors:
Pd  0.338  0.940  0.384
Pd  0.337  0.272  0.054
Pd  0.663  0.728  0.946
Pd  0.662  0.060  0.616
Pd  0.007  0.822  0.164
Pd  0.993  0.178  0.836
Au  0.677  0.375  0.270
Au  0.323  0.625  0.730
Tm  0.000  0.500  0.500

Computed properties:
Its symmetry is C2/m (12). As for the density of states at the Fermi level: 6.49 states/eV/cell.

(2)
Below is a relaxed TmPd6Au2 crystal, with properties calculated at the PBE level.

Lattice parameters (Å, degrees): 5.465 7.758 7.758 100.66 99.08 99.08
Sites, in units of the cell vectors:
Pd  0.699  0.926  0.549
Pd  0.301  0.074  0.451
Pd  0.689  0.748  0.971
Pd  0.189  0.971  0.748
Pd  0.515  0.351  0.735
Pd  0.801  0.451  0.074
Pd  0.199  0.549  0.926
Pd  0.485  0.649  0.265
Pd  0.811  0.029  0.252
Pd  0.985  0.265  0.649
Pd  0.015  0.735  0.351
Pd  0.311  0.252  0.029
Tm  0.750  0.101  0.899
Tm  0.250  0.899  0.101
Au  0.365  0.661  0.630
Au  0.865  0.630  0.661
Au  0.135  0.370  0.339
Au  0.635  0.339  0.370

Computed properties:
Its symmetry is C2/c (15). As for the density of states at the Fermi level: 9.76 states/eV/cell.

In terms of stability, (1) leads; the second structure lies 143 meV per atom higher.

(1)
Below is a relaxed TmPd4Au3 crystal, with properties calculated at the PBE level.

Lattice parameters (Å, degrees): 6.151 6.151 6.151 78.91 127.31 125.89
Sites, in units of the cell vectors:
Pd  0.571  0.248  0.323
Pd  0.076  0.752  0.323
Pd  0.095  0.759  0.854
Pd  0.095  0.241  0.336
Tm  0.296  0.500  0.796
Au  0.828  0.000  0.828
Au  0.595  0.255  0.850
Au  0.595  0.745  0.340

Computed properties:
Its symmetry is Imm2 (44). As for the density of states at the Fermi level: 3.46 states/eV/cell.

(2)
Below is a relaxed TmPd4Au3 crystal, with properties calculated at the PBE level.

Lattice parameters (Å, degrees): 4.914 6.005 9.394 90.00 90.00 90.00
Sites, in units of the cell vectors:
Tm  0.000  0.500  0.000
Tm  0.000  0.500  0.500
Pd  0.500  0.249  0.500
Pd  0.861  0.756  0.250
Pd  0.139  0.244  0.750
Pd  0.500  0.751  0.000
Pd  0.500  0.249  0.000
Pd  0.861  0.244  0.250
Pd  0.139  0.756  0.750
Pd  0.500  0.751  0.500
Au  0.616  0.500  0.750
Au  0.384  0.500  0.250
Au  0.358  0.000  0.250
Au  0.000  0.000  0.000
Au  0.000  0.000  0.500
Au  0.642  0.000  0.750

Computed properties:
Its symmetry is Pmma (51). As for the density of states at the Fermi level: 6.04 states/eV/cell.

In terms of stability, (2) leads; the second structure lies 175 meV per atom higher.

(1)
Below is a relaxed YTmPdAu crystal, with properties calculated at the PBE level.

Lattice parameters (Å, degrees): 5.001 5.001 5.001 60.00 60.00 60.00
Sites, in units of the cell vectors:
Tm  0.250  0.250  0.250
Y  0.750  0.750  0.750
Au  0.000  0.000  0.000
Pd  0.500  0.500  0.500

Computed properties:
Its symmetry is F-43m (216). As for the density of states at the Fermi level: 3.21 states/eV/cell.

(2)
Below is a relaxed YTmPdAu crystal, with properties calculated at the PBE level.

Lattice parameters (Å, degrees): 3.717 4.656 5.616 90.00 109.33 90.00
Sites, in units of the cell vectors:
Y  0.140  0.000  0.279
Tm  0.863  0.500  0.726
Au  0.585  0.500  0.170
Pd  0.412  0.000  0.825

Computed properties:
Its symmetry is Amm2 (38). As for the density of states at the Fermi level: 1.91 states/eV/cell.

In terms of stability, (2) leads; the second structure lies 39 meV per atom higher.

(1)
Below is a relaxed UPd2Au2 crystal, with properties calculated at the PBE level.

Lattice parameters (Å, degrees): 4.318 8.460 11.005 90.00 90.00 90.00
Each line ends with the local moment (μB).
Sites, in units of the cell vectors:
Au  0.250  0.572  0.195  0.01
Au  0.750  0.783  0.218  0.01
Au  0.750  0.283  0.282  0.01
Au  0.250  0.217  0.782  0.01
Au  0.250  0.717  0.718  0.01
Au  0.250  0.072  0.305  0.01
Au  0.750  0.928  0.695  0.01
Au  0.750  0.428  0.805  0.01
Pd  0.250  0.542  0.929  -0.04
Pd  0.750  0.458  0.071  -0.04
Pd  0.250  0.904  0.075  -0.05
Pd  0.750  0.096  0.925  -0.05
Pd  0.750  0.596  0.575  -0.05
Pd  0.250  0.042  0.571  -0.04
Pd  0.250  0.404  0.425  -0.05
Pd  0.750  0.958  0.429  -0.04
U  0.750  0.266  0.563  2.20
U  0.250  0.734  0.437  2.20
U  0.750  0.766  0.937  2.20
U  0.250  0.234  0.063  2.20

Computed properties:
Its symmetry is Pnma (62). As for the density of states at the Fermi level: 31.26 states/eV/cell.

(2)
Below is a relaxed UPd2Au2 crystal, with properties calculated at the PBE level.

Lattice parameters (Å, degrees): 4.437 5.778 7.715 90.00 106.71 90.00
Each line ends with the local moment (μB).
Sites, in units of the cell vectors:
Pd  0.400  0.575  0.800  0.02
Pd  0.600  0.075  0.200  0.02
Pd  0.809  0.825  0.618  0.00
Pd  0.191  0.325  0.382  0.00
Au  0.196  0.850  0.393  0.02
Au  0.804  0.350  0.607  0.02
Au  0.000  0.314  0.000  0.04
Au  0.000  0.814  0.000  0.04
U  0.609  0.570  0.218  2.22
U  0.391  0.070  0.782  2.22

Computed properties:
Its symmetry is Cmc2_1 (36). As for the density of states at the Fermi level: 16.36 states/eV/cell.

In terms of stability, (2) leads; the second structure lies 131 meV per atom higher.

(1)
Below is a relaxed UPd3Au crystal, with properties calculated at the PBE level.

Lattice parameters (Å, degrees): 5.194 5.296 7.479 110.74 90.00 90.00
Each line ends with the local moment (μB).
Sites, in units of the cell vectors:
Au  0.250  0.561  0.123  0.00
Au  0.750  0.439  0.877  0.00
U  0.250  0.184  0.367  1.91
U  0.750  0.816  0.633  1.91
Pd  0.750  0.400  0.291  -0.06
Pd  0.000  0.000  0.000  -0.03
Pd  0.250  0.109  0.709  -0.06
Pd  0.250  0.600  0.709  -0.06
Pd  0.500  0.000  0.000  -0.03
Pd  0.750  0.891  0.291  -0.06

Computed properties:
Its symmetry is Cmcm (63). As for the density of states at the Fermi level: 15.24 states/eV/cell.

(2)
Below is a relaxed UPd3Au crystal, with properties calculated at the PBE level.

Lattice parameters (Å, degrees): 5.297 6.729 6.729 69.82 66.82 66.82
Each line ends with the local moment (μB).
Sites, in units of the cell vectors:
Pd  0.000  0.000  0.500  -0.05
Pd  0.213  0.348  0.225  -0.05
Pd  0.500  0.000  0.500  -0.05
Pd  0.787  0.275  0.152  -0.05
Pd  0.213  0.725  0.848  -0.05
Pd  0.787  0.652  0.775  -0.05
U  0.003  0.247  0.747  1.93
U  0.997  0.753  0.253  1.93
Au  0.500  0.500  0.500  0.02
Au  0.500  0.000  0.000  0.02

Computed properties:
Its symmetry is Imma (74). As for the density of states at the Fermi level: 13.34 states/eV/cell.

In terms of stability, (1) leads; the second structure lies 54 meV per atom higher.

(1)
Below is a relaxed UPd4Au2 crystal, with properties calculated at the PBE level.

Lattice parameters (Å, degrees): 5.896 6.423 7.841 103.59 112.49 104.42
Each line ends with the local moment (μB).
Sites, in units of the cell vectors:
Pd  0.619  0.113  0.602  -0.03
Pd  0.053  0.566  0.758  -0.03
Pd  0.478  0.984  0.888  -0.04
Pd  0.556  0.567  0.757  -0.04
Pd  0.386  0.392  0.021  -0.04
Pd  0.849  0.850  0.185  -0.02
Pd  0.780  0.279  0.326  -0.03
Pd  0.281  0.263  0.319  -0.03
Au  0.124  0.134  0.599  0.01
Au  0.884  0.417  0.028  0.01
Au  0.696  0.685  0.463  0.01
Au  0.359  0.831  0.177  0.01
U  0.197  0.679  0.472  1.74
U  0.987  0.991  0.906  1.66

Computed properties:
Its symmetry is P1 (1). As for the density of states at the Fermi level: 18.90 states/eV/cell.

(2)
Below is a relaxed UPd4Au2 crystal, with properties calculated at the PBE level.

Lattice parameters (Å, degrees): 5.094 5.094 7.401 110.13 110.13 90.00
Each line ends with the local moment (μB).
Sites, in units of the cell vectors:
Pd  0.500  0.000  0.000  -0.03
Pd  0.814  0.814  0.628  -0.06
Pd  0.000  0.500  0.000  -0.03
Pd  0.186  0.186  0.372  -0.06
U  0.000  0.000  0.000  1.50
Au  0.394  0.394  0.787  0.00
Au  0.606  0.606  0.213  0.00

Computed properties:
Its symmetry is I4/mmm (139). As for the density of states at the Fermi level: 8.47 states/eV/cell.

In terms of stability, (1) leads; the second structure lies 763 meV per atom higher.

(1)
Below is a relaxed UPd8Au2 crystal, with properties calculated at the PBE level.

Lattice parameters (Å, degrees): 5.336 7.382 7.382 42.79 75.80 75.80
Each line ends with the local moment (μB).
Sites, in units of the cell vectors:
Pd  0.780  0.582  0.582  -0.03
Pd  0.041  0.255  0.255  -0.01
Pd  0.696  0.165  0.660  -0.05
Pd  0.959  0.745  0.745  -0.01
Pd  0.304  0.835  0.340  -0.05
Pd  0.304  0.340  0.835  -0.05
Pd  0.696  0.660  0.165  -0.05
Pd  0.220  0.418  0.418  -0.03
Au  0.586  0.209  0.209  0.00
Au  0.414  0.791  0.791  0.00
U  0.000  0.000  0.000  1.19

Computed properties:
Its symmetry is C2/m (12). As for the density of states at the Fermi level: 10.66 states/eV/cell.

(2)
Below is a relaxed UPd8Au2 crystal, with properties calculated at the PBE level.

Lattice parameters (Å, degrees): 4.386 6.780 6.780 105.32 89.98 89.98
Sites, in units of the cell vectors:
Pd  0.000  0.036  0.299
Pd  0.000  0.964  0.701
Pd  0.500  0.236  0.764
Pd  0.500  0.323  0.323
Pd  0.000  0.299  0.036
Pd  0.000  0.701  0.964
Pd  0.500  0.677  0.677
Pd  0.500  0.764  0.236
U  0.500  0.000  0.000
Au  0.000  0.624  0.376
Au  0.000  0.376  0.624

Computed properties:
Its symmetry is Cmmm (65). As for the density of states at the Fermi level: 5.43 states/eV/cell.

In terms of stability, (2) leads; the second structure lies 24 meV per atom higher.

(1)
Below is a relaxed UPd5Au crystal, with properties calculated at the PBE level.

Lattice parameters (Å, degrees): 4.917 4.917 5.701 90.00 90.00 69.17
Each line ends with the local moment (μB).
Sites, in units of the cell vectors:
Pd  0.500  0.000  0.755  -0.05
Pd  0.000  0.500  0.755  -0.05
Pd  0.000  0.500  0.245  -0.05
Pd  0.500  0.000  0.245  -0.05
Pd  0.500  0.500  0.500  -0.04
Au  0.000  0.000  0.500  0.01
U  0.500  0.500  0.000  1.63

Computed properties:
Its symmetry is Cmmm (65). As for the density of states at the Fermi level: 8.80 states/eV/cell.

(2)
Below is a relaxed UPd5Au crystal, with properties calculated at the PBE level.

Lattice parameters (Å, degrees): 5.040 7.653 8.007 57.98 66.63 83.13
Each line ends with the local moment (μB).
Sites, in units of the cell vectors:
Pd  0.865  0.289  0.639  -0.01
Pd  0.427  0.148  0.573  -0.01
Pd  0.278  0.424  0.215  -0.03
Pd  0.151  0.719  0.857  -0.05
Pd  0.849  0.281  0.143  -0.05
Pd  0.425  0.146  0.066  -0.03
Pd  0.135  0.711  0.361  -0.01
Pd  0.575  0.854  0.934  -0.03
Pd  0.573  0.852  0.427  -0.01
Pd  0.722  0.576  0.785  -0.03
Au  0.000  0.000  0.000  0.00
Au  0.000  0.000  0.500  0.01
U  0.298  0.437  0.724  1.65
U  0.702  0.563  0.276  1.65

Computed properties:
Its symmetry is P-1 (2). As for the density of states at the Fermi level: 15.24 states/eV/cell.

In terms of stability, (2) leads; the second structure lies 117 meV per atom higher.

(1)
Below is a relaxed UPd4Au crystal, with properties calculated at the PBE level.

Lattice parameters (Å, degrees): 5.317 5.317 5.317 60.00 60.00 60.00
Each line ends with the local moment (μB).
Sites, in units of the cell vectors:
Pd  0.625  0.625  0.625  -0.10
Pd  0.625  0.625  0.124  -0.10
Pd  0.124  0.625  0.625  -0.10
Pd  0.625  0.124  0.625  -0.10
U  0.250  0.250  0.250  1.84
Au  0.000  0.000  0.000  -0.02

Computed properties:
Its symmetry is F-43m (216). As for the density of states at the Fermi level: 8.68 states/eV/cell.

(2)
Below is a relaxed UPd4Au crystal, with properties calculated at the PBE level.

Lattice parameters (Å, degrees): 6.691 4.864 7.739 90.00 90.00 58.10
Each line ends with the local moment (μB).
Sites, in units of the cell vectors:
Pd  0.254  0.496  0.576  -0.05
Pd  0.746  0.504  0.076  -0.05
Pd  0.746  0.004  0.576  -0.05
Pd  0.254  0.996  0.424  -0.05
Pd  0.746  0.504  0.424  -0.05
Pd  0.254  0.996  0.076  -0.05
Pd  0.746  0.004  0.924  -0.05
Pd  0.254  0.496  0.924  -0.05
U  0.000  0.250  0.750  1.81
U  0.000  0.750  0.250  1.81
Au  0.500  0.750  0.750  0.02
Au  0.500  0.250  0.250  0.02

Computed properties:
Its symmetry is C2/m (12). As for the density of states at the Fermi level: 17.61 states/eV/cell.

In terms of stability, (1) leads; the second structure lies 71 meV per atom higher.

(1)
Below is a relaxed VPd8Au6 crystal, with properties calculated at the PBE level.

Lattice parameters (Å, degrees): 6.575 6.575 6.575 72.68 72.68 72.68
Sites, in units of the cell vectors:
Au  0.445  0.611  0.178
Au  0.611  0.178  0.445
Au  0.178  0.445  0.611
Au  0.389  0.822  0.555
Au  0.822  0.555  0.389
Au  0.555  0.389  0.822
Pd  0.243  0.243  0.243
Pd  0.127  0.642  0.956
Pd  0.642  0.956  0.127
Pd  0.044  0.873  0.358
Pd  0.956  0.127  0.642
Pd  0.757  0.757  0.757
Pd  0.873  0.358  0.044
Pd  0.358  0.044  0.873
V  0.000  0.000  0.000

Computed properties:
Its symmetry is R-3 (148). As for the density of states at the Fermi level: 6.08 states/eV/cell.

(2)
Below is a relaxed VPd8Au6 crystal, with properties calculated at the PBE level.

Lattice parameters (Å, degrees): 4.931 7.688 7.688 120.00 90.00 90.00
Sites, in units of the cell vectors:
Au  0.722  0.468  0.368
Au  0.722  0.632  0.100
Au  0.278  0.100  0.468
Au  0.722  0.900  0.532
Au  0.278  0.532  0.632
Au  0.278  0.368  0.900
Pd  0.215  0.787  0.052
Pd  0.785  0.052  0.265
Pd  0.785  0.213  0.948
Pd  0.215  0.948  0.735
Pd  0.785  0.735  0.787
Pd  0.215  0.265  0.213
Pd  0.220  0.667  0.333
Pd  0.780  0.333  0.667
V  0.500  0.000  0.000

Computed properties:
Its symmetry is P-3 (147). As for the density of states at the Fermi level: 6.29 states/eV/cell.

In terms of stability, (1) leads; the second structure lies 11 meV per atom higher.